A plane-wave DFT calculation with PBE was carried out for Cs2Sc2SnSe6 after structural relaxation.

Structure (CIF):
```
data_Cs2Sc2SnSe6
_chemical_formula_sum 'Cs4 Sc4 Sn2 Se12'
_symmetry_space_group_name_H-M 'C 1 2/m 1'
_symmetry_Int_Tables_number 12
_symmetry_space_group_name_Hall '-C 2y'
_cell_length_a 6.878
_cell_length_b 11.985
_cell_length_c 8.903
_cell_angle_alpha 90.00
_cell_angle_beta 105.32
_cell_angle_gamma 90.00
loop_
_atom_site_label
_atom_site_fract_x
_atom_site_fract_y
_atom_site_fract_z
_atom_site_occupancy
Cs1 0.000 0.167 0.000 1
Sc1 0.000 0.332 0.500 1
Sn1 0.000 0.000 0.500 1
Se1 0.227 0.500 0.675 1
Se2 0.229 0.166 0.677 1
```

Summary:
Energy relative to the elements, uncorrected: -1.27 eV/atom
Magnetic moment: 0.00 μB per formula unit
Uncorrected energy: -106.398 eV for the cell shown
Calculated volume: 32.2 Å³/atom